1.
This record from the Open Quantum Materials Database describes crystalline Ga2SiIr at its relaxed geometry. The functional is PBE.

Lattice parameters (Å, degrees): 4.4136 4.4136 4.4136 60.00 60.00 60.00
Fractional coordinates of all 4 atoms:
1 Ga 0.0000 0.0000 0.0000
2 Ga 0.2500 0.2500 0.2500
3 Si 0.5000 0.5000 0.5000
4 Ir 0.7500 0.7500 0.7500

Output
The value obtained for the energy is -5.0126 eV/atom.


2.
This record from the Open Quantum Materials Database describes crystalline GaSiIr at its relaxed geometry. The functional is PBE.

Lattice parameters (Å, degrees): 4.0617 4.0617 4.0617 60.00 60.00 60.00
Fractional coordinates of all 3 atoms:
1 Ga 0.0000 0.0000 0.0000
2 Si 0.2500 0.2500 0.2500
3 Ir 0.5000 0.5000 0.5000

Output
The value obtained for the energy is -5.8597 eV/atom.